! TbSmI6 GGA-PBE optimized geometry; values from VASP
&SYSTEM
  ibrav = 0, nat = 8, ntyp = 3
/
ATOMIC_SPECIES
I 126.90 I.upf
Tb 158.93 Tb.upf
Sm 150.36 Sm.upf
CELL_PARAMETERS angstrom
8.069 -0.433 -1.274
-4.605 6.640 -1.274
0.093 0.166 7.550
ATOMIC_POSITIONS crystal
I 0.099 0.394 0.247
I 0.752 0.752 0.248
I 0.606 0.901 0.753
I 0.248 0.248 0.752
I 0.394 0.099 0.247
I 0.901 0.606 0.753
Tb 0.000 0.000 0.000
Sm 0.500 0.500 0.500
! Formation energy (no corrections), eV/f.u.: -10.90
! Distance to the lowest polymorph of the same formula, meV/atom: 0
! Crystal system: monoclinic
! Theoretical density, Mg/m³: 4.525
! D(E_F), states/eV per cell: 0.00
! Space-group type: C2/m (12)

=====

! Tb2SmI6 GGA-PBE optimized geometry; values from VASP
&SYSTEM
  ibrav = 0, nat = 9, ntyp = 3
/
ATOMIC_SPECIES
I 126.90 I.upf
Tb 158.93 Tb.upf
Sm 150.36 Sm.upf
CELL_PARAMETERS angstrom
4.170 0.000 0.000
-2.085 7.868 -3.470
0.000 -0.587 11.479
ATOMIC_POSITIONS crystal
I 0.351 0.701 0.457
Tb 0.650 0.301 0.806
I 0.649 0.299 0.543
I 0.986 0.972 0.213
I 0.014 0.028 0.787
Sm 0.000 0.000 0.500
I 0.302 0.603 0.891
I 0.698 0.397 0.109
Tb 0.350 0.699 0.194
! Formation energy (no corrections), eV/f.u.: -11.22
! Distance to the lowest polymorph of the same formula, meV/atom: 0
! Crystal system: monoclinic
! Theoretical density, Mg/m³: 5.547
! D(E_F), states/eV per cell: 6.26
! Space-group type: C2/m (12)

=====

! TbSmI5 GGA-PBE optimized geometry; values from VASP
&SYSTEM
  ibrav = 0, nat = 14, ntyp = 3
/
ATOMIC_SPECIES
I 126.90 I.upf
Sm 150.36 Sm.upf
Tb 158.93 Tb.upf
CELL_PARAMETERS angstrom
-0.910 -4.054 -0.099
9.058 -1.986 -1.911
2.976 -1.041 15.284
ATOMIC_POSITIONS crystal
I 0.250 0.026 0.292
I 0.750 0.142 0.931
I 0.250 0.858 0.069
I 0.250 0.413 0.713
I 0.750 0.974 0.708
Sm 0.750 0.085 0.142
I 0.250 0.718 0.541
I 0.750 0.587 0.287
Tb 0.750 0.646 0.679
Sm 0.250 0.915 0.858
Tb 0.250 0.354 0.321
I 0.750 0.282 0.459
I 0.250 0.334 0.120
I 0.750 0.666 0.880
! Formation energy (no corrections), eV/f.u.: -9.35
! Crystal system: monoclinic
! Theoretical density, Mg/m³: 5.105
! D(E_F), states/eV per cell: 3.95
! Space-group type: P2_1/m (11)